Entry w
VASP calculation (PBE-GGA) on a geometry-optimized KAsPtBr2 structure.

```
data_KAsPtBr2
_chemical_formula_sum 'K1 As1 Pt1 Br2'
_cell_length_a 5.867
_cell_length_b 5.867
_cell_length_c 6.350
_cell_angle_alpha 90.00
_cell_angle_beta 90.00
_cell_angle_gamma 90.00
_symmetry_space_group_name_H-M 'P 1'
_symmetry_Int_Tables_number 1
loop_
_symmetry_equiv_pos_as_xyz
'x,y,z'
loop_
_atom_site_label
_atom_site_fract_x
_atom_site_fract_y
_atom_site_fract_z
_atom_site_occupancy
K1 0.000 0.000 0.000 1
As1 0.000 0.000 0.500 1
Br1 0.000 0.500 0.000 1
Br2 0.500 0.000 0.000 1
Pt1 0.500 0.500 0.500 1
```

=====

Entry x
VASP calculation (PBE-GGA) on a geometry-optimized KAsPtBr2 structure.

```
data_KAsPtBr2
_chemical_formula_sum 'K1 As1 Pt1 Br2'
_cell_length_a 5.637
_cell_length_b 5.637
_cell_length_c 4.674
_cell_angle_alpha 90.00
_cell_angle_beta 90.00
_cell_angle_gamma 90.00
_symmetry_space_group_name_H-M 'P 1'
_symmetry_Int_Tables_number 1
loop_
_symmetry_equiv_pos_as_xyz
'x,y,z'
loop_
_atom_site_label
_atom_site_fract_x
_atom_site_fract_y
_atom_site_fract_z
_atom_site_occupancy
K1 0.500 0.500 0.500 1
As1 0.000 0.000 0.500 1
Br1 0.000 0.500 0.000 1
Br2 0.500 0.000 0.000 1
Pt1 0.000 0.000 0.000 1
```

=====

Energy ordering: entry x at the bottom, the next structure 1.514 eV/atom above.

=====

Entry w
VASP calculation (PBE-GGA) on a geometry-optimized KAsRhBr2 structure.

```
data_KAsRhBr2
_chemical_formula_sum 'K1 As1 Rh1 Br2'
_cell_length_a 6.020
_cell_length_b 6.020
_cell_length_c 6.111
_cell_angle_alpha 90.00
_cell_angle_beta 90.00
_cell_angle_gamma 90.00
_symmetry_space_group_name_H-M 'P 1'
_symmetry_Int_Tables_number 1
loop_
_symmetry_equiv_pos_as_xyz
'x,y,z'
loop_
_atom_site_label
_atom_site_fract_x
_atom_site_fract_y
_atom_site_fract_z
_atom_site_occupancy
As1 0.000 0.000 0.500 1
Rh1 0.500 0.500 0.500 1
K1 0.000 0.000 0.000 1
Br1 0.000 0.500 0.000 1
Br2 0.500 0.000 0.000 1
```

=====

Entry x
VASP calculation (PBE-GGA) on a geometry-optimized KAsRhBr2 structure.

```
data_KAsRhBr2
_chemical_formula_sum 'K1 As1 Rh1 Br2'
_cell_length_a 5.518
_cell_length_b 5.518
_cell_length_c 4.618
_cell_angle_alpha 90.00
_cell_angle_beta 90.00
_cell_angle_gamma 90.00
_symmetry_space_group_name_H-M 'P 1'
_symmetry_Int_Tables_number 1
loop_
_symmetry_equiv_pos_as_xyz
'x,y,z'
loop_
_atom_site_label
_atom_site_fract_x
_atom_site_fract_y
_atom_site_fract_z
_atom_site_occupancy
As1 0.000 0.000 0.500 1
Rh1 0.000 0.000 0.000 1
K1 0.500 0.500 0.500 1
Br1 0.000 0.500 0.000 1
Br2 0.500 0.000 0.000 1
```

=====

Energy ordering: entry x at the bottom, the next structure 1.520 eV/atom above.

=====

Entry w
VASP calculation (PBE-GGA) on a geometry-optimized KAs2RhBr structure.

```
data_KAs2RhBr
_chemical_formula_sum 'K1 As2 Rh1 Br1'
_cell_length_a 4.637
_cell_length_b 4.637
_cell_length_c 8.353
_cell_angle_alpha 90.00
_cell_angle_beta 90.00
_cell_angle_gamma 90.00
_symmetry_space_group_name_H-M 'P 1'
_symmetry_Int_Tables_number 1
loop_
_symmetry_equiv_pos_as_xyz
'x,y,z'
loop_
_atom_site_label
_atom_site_fract_x
_atom_site_fract_y
_atom_site_fract_z
_atom_site_occupancy
As1 0.000 0.500 0.000 1
As2 0.500 0.000 0.000 1
Rh1 0.000 0.000 0.000 1
K1 0.500 0.500 0.500 1
Br1 0.000 0.000 0.500 1
```

=====

Entry x
VASP calculation (PBE-GGA) on a geometry-optimized KAs2RhBr structure.

```
data_KAs2RhBr
_chemical_formula_sum 'K1 As2 Rh1 Br1'
_cell_length_a 6.253
_cell_length_b 6.253
_cell_length_c 5.830
_cell_angle_alpha 90.00
_cell_angle_beta 90.00
_cell_angle_gamma 90.00
_symmetry_space_group_name_H-M 'P 1'
_symmetry_Int_Tables_number 1
loop_
_symmetry_equiv_pos_as_xyz
'x,y,z'
loop_
_atom_site_label
_atom_site_fract_x
_atom_site_fract_y
_atom_site_fract_z
_atom_site_occupancy
As1 0.000 0.500 0.000 1
As2 0.500 0.000 0.000 1
Rh1 0.500 0.500 0.500 1
K1 0.000 0.000 0.000 1
Br1 0.000 0.000 0.500 1
```

=====

Energy ordering: entry w at the bottom, the next structure 1.878 eV/atom above.

=====

Entry w
VASP calculation (PBE-GGA) on a geometry-optimized KAs2SBr structure.

```
data_KAs2SBr
_chemical_formula_sum 'K1 As2 S1 Br1'
_cell_length_a 4.739
_cell_length_b 4.739
_cell_length_c 8.389
_cell_angle_alpha 90.00
_cell_angle_beta 90.00
_cell_angle_gamma 90.00
_symmetry_space_group_name_H-M 'P 1'
_symmetry_Int_Tables_number 1
loop_
_symmetry_equiv_pos_as_xyz
'x,y,z'
loop_
_atom_site_label
_atom_site_fract_x
_atom_site_fract_y
_atom_site_fract_z
_atom_site_occupancy
S1 0.000 0.000 0.000 1
As1 0.000 0.500 0.000 1
As2 0.500 0.000 0.000 1
K1 0.500 0.500 0.500 1
Br1 0.000 0.000 0.500 1
```

=====

Entry x
VASP calculation (PBE-GGA) on a geometry-optimized KAs2SBr structure.

```
data_KAs2SBr
_chemical_formula_sum 'K1 As2 S1 Br1'
_cell_length_a 7.239
_cell_length_b 7.239
_cell_length_c 6.118
_cell_angle_alpha 90.00
_cell_angle_beta 90.00
_cell_angle_gamma 90.00
_symmetry_space_group_name_H-M 'P 1'
_symmetry_Int_Tables_number 1
loop_
_symmetry_equiv_pos_as_xyz
'x,y,z'
loop_
_atom_site_label
_atom_site_fract_x
_atom_site_fract_y
_atom_site_fract_z
_atom_site_occupancy
S1 0.500 0.500 0.500 1
As1 0.000 0.500 0.000 1
As2 0.500 0.000 0.000 1
K1 0.000 0.000 0.000 1
Br1 0.000 0.000 0.500 1
```

=====

Energy ordering: entry w at the bottom, the next structure 1.275 eV/atom above.

=====

Entry w
VASP calculation (PBE-GGA) on a geometry-optimized KAs2SeBr structure.

```
data_KAs2SeBr
_chemical_formula_sum 'K1 As2 Se1 Br1'
_cell_length_a 7.159
_cell_length_b 7.159
_cell_length_c 6.135
_cell_angle_alpha 90.00
_cell_angle_beta 90.00
_cell_angle_gamma 90.00
_symmetry_space_group_name_H-M 'P 1'
_symmetry_Int_Tables_number 1
loop_
_symmetry_equiv_pos_as_xyz
'x,y,z'
loop_
_atom_site_label
_atom_site_fract_x
_atom_site_fract_y
_atom_site_fract_z
_atom_site_occupancy
K1 0.000 0.000 0.000 1
As1 0.000 0.500 0.000 1
As2 0.500 0.000 0.000 1
Se1 0.500 0.500 0.500 1
Br1 0.000 0.000 0.500 1
```

=====

Entry x
VASP calculation (PBE-GGA) on a geometry-optimized KAs2SeBr structure.

```
data_KAs2SeBr
_chemical_formula_sum 'K1 As2 Se1 Br1'
_cell_length_a 6.414
_cell_length_b 6.414
_cell_length_c 5.948
_cell_angle_alpha 90.00
_cell_angle_beta 90.00
_cell_angle_gamma 90.00
_symmetry_space_group_name_H-M 'P 1'
_symmetry_Int_Tables_number 1
loop_
_symmetry_equiv_pos_as_xyz
'x,y,z'
loop_
_atom_site_label
_atom_site_fract_x
_atom_site_fract_y
_atom_site_fract_z
_atom_site_occupancy
K1 0.000 0.000 0.000 1
As1 0.000 0.500 0.000 1
As2 0.500 0.000 0.000 1
Se1 0.000 0.000 0.500 1
Br1 0.500 0.500 0.500 1
```

=====

Entry y
VASP calculation (PBE-GGA) on a geometry-optimized KAs2SeBr structure.

```
data_KAs2SeBr
_chemical_formula_sum 'K1 As2 Se1 Br1'
_cell_length_a 5.258
_cell_length_b 5.662
_cell_length_c 5.258
_cell_angle_alpha 90.00
_cell_angle_beta 90.00
_cell_angle_gamma 90.00
_symmetry_space_group_name_H-M 'P 1'
_symmetry_Int_Tables_number 1
loop_
_symmetry_equiv_pos_as_xyz
'x,y,z'
loop_
_atom_site_label
_atom_site_fract_x
_atom_site_fract_y
_atom_site_fract_z
_atom_site_occupancy
K1 0.500 0.500 0.500 1
As1 0.000 0.000 0.500 1
As2 0.500 0.000 0.000 1
Se1 0.000 0.500 0.000 1
Br1 0.000 0.000 0.000 1
```

=====

Energy ordering: entry y at the bottom, the next structure 0.591 eV/atom above.

=====

Entry w
VASP calculation (PBE-GGA) on a geometry-optimized KSiAsBr2 structure.

```
data_KSiAsBr2
_chemical_formula_sum 'K1 Si1 As1 Br2'
_cell_length_a 5.511
_cell_length_b 5.511
_cell_length_c 4.946
_cell_angle_alpha 90.00
_cell_angle_beta 90.00
_cell_angle_gamma 90.00
_symmetry_space_group_name_H-M 'P 1'
_symmetry_Int_Tables_number 1
loop_
_symmetry_equiv_pos_as_xyz
'x,y,z'
loop_
_atom_site_label
_atom_site_fract_x
_atom_site_fract_y
_atom_site_fract_z
_atom_site_occupancy
As1 0.000 0.000 0.500 1
Si1 0.000 0.000 0.000 1
K1 0.500 0.500 0.500 1
Br1 0.000 0.500 0.000 1
Br2 0.500 0.000 0.000 1
```

=====

Entry x
VASP calculation (PBE-GGA) on a geometry-optimized KSiAsBr2 structure.

```
data_KSiAsBr2
_chemical_formula_sum 'K1 Si1 As1 Br2'
_cell_length_a 5.902
_cell_length_b 5.902
_cell_length_c 6.098
_cell_angle_alpha 90.00
_cell_angle_beta 90.00
_cell_angle_gamma 90.00
_symmetry_space_group_name_H-M 'P 1'
_symmetry_Int_Tables_number 1
loop_
_symmetry_equiv_pos_as_xyz
'x,y,z'
loop_
_atom_site_label
_atom_site_fract_x
_atom_site_fract_y
_atom_site_fract_z
_atom_site_occupancy
As1 0.000 0.000 0.500 1
Si1 0.500 0.500 0.500 1
K1 0.000 0.000 0.000 1
Br1 0.000 0.500 0.000 1
Br2 0.500 0.000 0.000 1
```

=====

Energy ordering: entry w at the bottom, the next structure 1.098 eV/atom above.